A relaxed LaPrNi2 crystal. Source: Alexandria, functional PBE.

SG = Fm-3m, No. 225
DFT total energy = -5.528 eV per atom
V = 22.09 A^3/atom
Energy of formation = -0.2103 eV/atom

Structure (CIF):
```
data_LaPrNi2
_space_group_name_H-M_alt 'P 1'
_space_group_IT_number 1
_space_group_name_Hall 'P 1'
_cell_length_a 4.9992
_cell_length_b 4.9992
_cell_length_c 4.9992
_cell_angle_alpha 60.00
_cell_angle_beta 60.00
_cell_angle_gamma 60.00
loop_
_atom_site_label
_atom_site_type_symbol
_atom_site_fract_x
_atom_site_fract_y
_atom_site_fract_z
Pr1 Pr 0.5000 0.5000 0.5000
Ni1 Ni 0.2500 0.2500 0.2500
Ni2 Ni 0.7500 0.7500 0.7500
La1 La 0.0000 0.0000 0.0000
```